No. 1
RbPtNO, relaxed, DFT PBE-GGA; V = 18.261 A^3/atom; total energy = -5.218 eV/atom; energy above the most stable polymorph in this dataset = 0 meV/atom; SG = Pmc2_1, No. 26
1.0
4.037 0.000 0.000
0.000 4.853 0.000
0.000 0.000 7.456
Rb Pt N O
2 2 2 2
direct
0.000 0.005 0.000 Rb
0.000 0.995 0.500 Rb
0.500 0.500 0.251 Pt
0.500 0.500 0.751 Pt
0.500 0.499 0.501 N
0.500 0.501 0.001 N
0.000 0.413 0.746 O
0.000 0.587 0.246 O

---

No. 2
RbPtNO, relaxed, DFT PBE-GGA; V = 20.463 A^3/atom; total energy = -4.610 eV/atom; energy above the most stable polymorph in this dataset = 608 meV/atom; SG = P4/nmm, No. 129
1.0
4.003 0.000 0.000
0.000 4.003 0.000
0.000 0.000 10.217
Rb Pt N O
2 2 2 2
direct
0.250 0.250 0.181 Rb
0.750 0.750 0.819 Rb
0.250 0.750 0.500 Pt
0.750 0.250 0.500 Pt
0.250 0.250 0.570 N
0.750 0.750 0.430 N
0.250 0.750 0.000 O
0.750 0.250 0.000 O

---

No. 3
RbPtNO, relaxed, DFT PBE-GGA; V = 17.133 A^3/atom; total energy = -5.076 eV/atom; energy above the most stable polymorph in this dataset = 142 meV/atom; SG = Pmc2_1, No. 26
1.0
3.539 0.000 0.000
0.000 5.935 0.000
0.000 0.000 6.525
Rb Pt N O
2 2 2 2
direct
0.000 0.066 0.000 Rb
0.000 0.934 0.500 Rb
0.500 0.458 0.580 Pt
0.500 0.542 0.080 Pt
0.000 0.374 0.662 N
0.000 0.626 0.162 N
0.500 0.291 0.308 O
0.500 0.709 0.808 O

---

No. 4
SbPtNO, relaxed, DFT PBE-GGA; V = 13.174 A^3/atom; total energy = -5.324 eV/atom; energy above the most stable polymorph in this dataset = 610 meV/atom; SG = P4/nmm, No. 129
1.0
4.654 0.000 0.000
0.000 4.654 0.000
0.000 0.000 4.866
Sb Pt N O
2 2 2 2
direct
0.250 0.750 0.000 Sb
0.750 0.250 0.000 Sb
0.250 0.250 0.448 Pt
0.750 0.750 0.552 Pt
0.250 0.250 0.885 N
0.750 0.750 0.115 N
0.250 0.750 0.500 O
0.750 0.250 0.500 O

---

No. 5
SbPtNO, relaxed, DFT PBE-GGA; V = 14.695 A^3/atom; total energy = -5.635 eV/atom; energy above the most stable polymorph in this dataset = 298 meV/atom; SG = P4/nmm, No. 129
1.0
4.118 0.000 0.000
0.000 4.118 0.000
0.000 0.000 6.933
Sb Pt N O
2 2 2 2
direct
0.250 0.250 0.156 Sb
0.750 0.750 0.844 Sb
0.250 0.750 0.500 Pt
0.750 0.250 0.500 Pt
0.250 0.250 0.571 N
0.750 0.750 0.429 N
0.250 0.750 0.000 O
0.750 0.250 0.000 O

---

No. 6
SbPtNO, relaxed, DFT PBE-GGA; V = 16.014 A^3/atom; total energy = -5.934 eV/atom; energy above the most stable polymorph in this dataset = 0 meV/atom; SG = Pca2_1, No. 29
1.0
6.651 0.000 0.000
0.000 7.867 0.000
0.000 0.000 4.897
Sb Pt N O
4 4 4 4
direct
0.069 0.163 0.000 Sb
0.431 0.163 0.500 Sb
0.569 0.837 0.000 Sb
0.931 0.837 0.500 Sb
0.070 0.533 0.807 Pt
0.430 0.533 0.307 Pt
0.570 0.467 0.807 Pt
0.930 0.467 0.307 Pt
0.154 0.629 0.431 N
0.346 0.629 0.931 N
0.654 0.371 0.431 N
0.846 0.371 0.931 N
0.107 0.023 0.650 O
0.393 0.023 0.150 O
0.607 0.977 0.650 O
0.893 0.977 0.150 O

---

No. 7
SbPtNO, relaxed, DFT PBE-GGA; V = 14.489 A^3/atom; total energy = -5.680 eV/atom; energy above the most stable polymorph in this dataset = 254 meV/atom; SG = Pmc2_1, No. 26
1.0
3.185 0.000 0.000
0.000 6.672 0.000
0.000 0.000 5.454
Sb Pt N O
2 2 2 2
direct
0.000 0.207 0.000 Sb
0.000 0.793 0.500 Sb
0.500 0.228 0.588 Pt
0.500 0.772 0.088 Pt
0.000 0.109 0.406 N
0.000 0.891 0.906 N
0.500 0.366 0.131 O
0.500 0.634 0.631 O

---

No. 8
SbPtNO, relaxed, DFT PBE-GGA; V = 16.099 A^3/atom; total energy = -5.807 eV/atom; energy above the most stable polymorph in this dataset = 126 meV/atom; SG = Pmc2_1, No. 26
1.0
3.568 0.000 0.000
0.000 6.729 0.000
0.000 0.000 5.363
Sb Pt N O
2 2 2 2
direct
0.000 0.186 0.000 Sb
0.000 0.814 0.500 Sb
0.500 0.490 0.085 Pt
0.500 0.510 0.585 Pt
0.500 0.265 0.804 N
0.500 0.735 0.304 N
0.000 0.084 0.348 O
0.000 0.916 0.848 O

---

No. 9
SiPtNO, relaxed, DFT PBE-GGA; V = 13.902 A^3/atom; total energy = -5.869 eV/atom; energy above the most stable polymorph in this dataset = 1436 meV/atom; SG = P4/nmm, No. 129
1.0
3.802 0.000 0.000
0.000 3.802 0.000
0.000 0.000 7.695
Si Pt N O
2 2 2 2
direct
0.250 0.250 0.108 Si
0.750 0.750 0.892 Si
0.250 0.750 0.500 Pt
0.750 0.250 0.500 Pt
0.250 0.250 0.617 N
0.750 0.750 0.383 N
0.250 0.750 0.000 O
0.750 0.250 0.000 O

---

No. 10
SiPtNO, relaxed, DFT PBE-GGA; V = 12.616 A^3/atom; total energy = -7.305 eV/atom; energy above the most stable polymorph in this dataset = 0 meV/atom; SG = Pmc2_1, No. 26
1.0
2.937 0.000 0.000
0.000 6.509 0.000
0.000 0.000 5.279
Si Pt N O
2 2 2 2
direct
0.000 0.131 0.000 Si
0.000 0.869 0.500 Si
0.500 0.477 0.676 Pt
0.500 0.523 0.176 Pt
0.500 0.265 0.955 N
0.500 0.735 0.455 N
0.000 0.053 0.292 O
0.000 0.947 0.792 O

---

No. 11
SiPtNO, relaxed, DFT PBE-GGA; V = 13.275 A^3/atom; total energy = -6.882 eV/atom; energy above the most stable polymorph in this dataset = 424 meV/atom; SG = Pca2_1, No. 29
1.0
5.354 0.000 0.000
0.000 7.367 0.000
0.000 0.000 5.385
Si Pt N O
4 4 4 4
direct
0.221 0.196 0.000 Si
0.279 0.196 0.500 Si
0.721 0.804 0.000 Si
0.779 0.804 0.500 Si
0.016 0.453 0.397 Pt
0.484 0.453 0.897 Pt
0.516 0.547 0.397 Pt
0.984 0.547 0.897 Pt
0.046 0.692 0.592 N
0.454 0.692 0.092 N
0.546 0.308 0.592 N
0.954 0.308 0.092 N
0.184 0.075 0.743 O
0.316 0.075 0.243 O
0.684 0.925 0.743 O
0.816 0.925 0.243 O

---

No. 12
SiPtNO, relaxed, DFT PBE-GGA; V = 11.389 A^3/atom; total energy = -5.843 eV/atom; energy above the most stable polymorph in this dataset = 1462 meV/atom; SG = P4/nmm, No. 129
1.0
3.788 0.000 0.000
0.000 3.788 0.000
0.000 0.000 6.349
Si Pt N O
2 2 2 2
direct
0.250 0.750 0.000 Si
0.750 0.250 0.000 Si
0.250 0.250 0.329 Pt
0.750 0.750 0.671 Pt
0.250 0.250 0.967 N
0.750 0.750 0.033 N
0.250 0.750 0.500 O
0.750 0.250 0.500 O

---

No. 13
SiPtNO, relaxed, DFT PBE-GGA; V = 12.116 A^3/atom; total energy = -6.732 eV/atom; energy above the most stable polymorph in this dataset = 573 meV/atom; SG = Pmc2_1, No. 26
1.0
2.844 0.000 0.000
0.000 5.919 0.000
0.000 0.000 5.757
Si Pt N O
2 2 2 2
direct
0.000 0.125 0.000 Si
0.000 0.875 0.500 Si
0.500 0.301 0.471 Pt
0.500 0.699 0.971 Pt
0.000 0.101 0.306 N
0.000 0.899 0.806 N
0.500 0.268 0.944 O
0.500 0.732 0.444 O

---

No. 14
SmPtNO, relaxed, DFT PBE-GGA; V = 16.441 A^3/atom; total energy = -7.088 eV/atom; energy above the most stable polymorph in this dataset = 229 meV/atom; SG = Pmc2_1, No. 26
1.0
3.728 0.000 0.000
0.000 6.377 0.000
0.000 0.000 5.533
Sm Pt N O
2 2 2 2
direct
0.000 0.245 0.000 Sm
0.000 0.755 0.500 Sm
0.500 0.173 0.481 Pt
0.500 0.827 0.981 Pt
0.000 0.171 0.474 N
0.000 0.829 0.974 N
0.500 0.399 0.897 O
0.500 0.601 0.397 O

---

No. 15
SmPtNO, relaxed, DFT PBE-GGA; V = 16.000 A^3/atom; total energy = -7.292 eV/atom; energy above the most stable polymorph in this dataset = 25 meV/atom; SG = P4/nmm, No. 129
1.0
4.212 0.000 0.000
0.000 4.212 0.000
0.000 0.000 7.216
Sm Pt N O
2 2 2 2
direct
0.250 0.250 0.141 Sm
0.750 0.750 0.859 Sm
0.250 0.750 0.500 Pt
0.750 0.250 0.500 Pt
0.250 0.250 0.469 N
0.750 0.750 0.531 N
0.250 0.750 0.000 O
0.750 0.250 0.000 O

---

No. 16
SmPtNO, relaxed, DFT PBE-GGA; V = 17.121 A^3/atom; total energy = -7.091 eV/atom; energy above the most stable polymorph in this dataset = 226 meV/atom; SG = Pmc2_1, No. 26
1.0
4.378 0.000 0.000
0.000 6.748 0.000
0.000 0.000 4.636
Sm Pt N O
2 2 2 2
direct
0.000 0.197 0.000 Sm
0.000 0.803 0.500 Sm
0.500 0.407 0.512 Pt
0.500 0.593 0.012 Pt
0.500 0.308 0.917 N
0.500 0.692 0.417 N
0.000 0.134 0.492 O
0.000 0.866 0.992 O

---

No. 17
SmPtNO, relaxed, DFT PBE-GGA; V = 13.906 A^3/atom; total energy = -6.819 eV/atom; energy above the most stable polymorph in this dataset = 498 meV/atom; SG = P4/mmm, No. 123
1.0
3.507 0.000 0.000
0.000 3.507 0.000
0.000 0.000 4.524
Sm Pt N O
1 1 1 1
direct
0.000 0.000 0.000 Sm
0.500 0.500 0.500 Pt
0.500 0.500 0.000 N
0.000 0.000 0.500 O

---

No. 18
SmPtNO, relaxed, DFT PBE-GGA; V = 13.785 A^3/atom; total energy = -6.816 eV/atom; energy above the most stable polymorph in this dataset = 501 meV/atom; SG = P4/nmm, No. 129
1.0
4.945 0.000 0.000
0.000 4.945 0.000
0.000 0.000 4.510
Sm Pt N O
2 2 2 2
direct
0.250 0.750 0.000 Sm
0.750 0.250 0.000 Sm
0.250 0.250 0.496 Pt
0.750 0.750 0.504 Pt
0.250 0.250 0.995 N
0.750 0.750 0.005 N
0.250 0.750 0.500 O
0.750 0.250 0.500 O

---

No. 19
SmPtNO, relaxed, DFT PBE-GGA; V = 16.014 A^3/atom; total energy = -7.317 eV/atom; energy above the most stable polymorph in this dataset = 0 meV/atom; SG = Pca2_1, No. 29
1.0
6.231 0.000 0.000
0.000 7.545 0.000
0.000 0.000 5.450
Sm Pt N O
4 4 4 4
direct
0.006 0.140 0.000 Sm
0.494 0.140 0.500 Sm
0.506 0.860 0.000 Sm
0.994 0.860 0.500 Sm
0.174 0.436 0.622 Pt
0.326 0.436 0.122 Pt
0.674 0.564 0.622 Pt
0.826 0.564 0.122 Pt
0.043 0.398 0.290 N
0.457 0.398 0.790 N
0.543 0.602 0.290 N
0.957 0.602 0.790 N
0.247 0.989 0.245 O
0.253 0.989 0.745 O
0.747 0.011 0.245 O
0.753 0.011 0.745 O

---

No. 20
TbPtNO, relaxed, DFT PBE-GGA; V = 13.170 A^3/atom; total energy = -6.902 eV/atom; energy above the most stable polymorph in this dataset = 441 meV/atom; SG = P4/nmm, No. 129
1.0
4.850 0.000 0.000
0.000 4.850 0.000
0.000 0.000 4.480
Tb Pt N O
2 2 2 2
direct
0.250 0.750 0.000 Tb
0.750 0.250 0.000 Tb
0.250 0.250 0.499 Pt
0.750 0.750 0.501 Pt
0.250 0.250 0.998 N
0.750 0.750 0.002 N
0.250 0.750 0.500 O
0.750 0.250 0.500 O